Entry 1:
Here is a relaxed Cs8Hg2Au crystal from Alexandria via LeMat-Bulk. Energies are from PBE.

Calculated values
calculated volume = 68.7 Å³/atom
formation energy = -0.133 eV per atom
ΔE to the lowest computed polymorph = 0.020 eV/atom
electronic total energy = -12.2 eV for the cell shown
space-group type = C2/m, No. 12

a = 13.2801 Å, b = 13.2801 Å, c = 9.3673 Å
α = 104.77°, β = 104.77°, γ = 28.32°
Sites, in units of the cell vectors:
Cs1 0.0374 0.0374 0.3175
Cs2 0.2185 0.2185 0.8270
Cs3 0.3369 0.3369 0.5372
Cs4 0.4131 0.4131 0.0942
Cs5 0.5869 0.5869 0.9058
Cs6 0.6631 0.6631 0.4628
Cs7 0.7815 0.7815 0.1730
Cs8 0.9626 0.9626 0.6825
Hg1 0.1848 0.1848 0.2159
Hg2 0.8152 0.8152 0.7841
Au1 0.5000 0.5000 0.5000



Entry 2:
Here is a relaxed CsHgAu crystal from Alexandria via LeMat-Bulk. Energies are from PBE.

Calculated values
calculated volume = 43.3 Å³/atom
formation energy = -0.226 eV per atom
ΔE to the lowest computed polymorph = 0.072 eV/atom
electronic total energy = -5.1 eV for the cell shown
space-group type = F-43m, No. 216

a = 5.6857 Å, b = 5.6857 Å, c = 5.6857 Å
α = 60.00°, β = 60.00°, γ = 60.00°
Sites, in units of the cell vectors:
Cs1 0.0000 0.0000 0.0000
Hg1 0.5000 0.5000 0.5000
Au1 0.7500 0.7500 0.7500



Entry 3:
Here is a relaxed Cs3Hg8Au3 crystal from Alexandria via LeMat-Bulk. Energies are from PBE.

Calculated values
calculated volume = 33.8 Å³/atom
formation energy = -0.207 eV per atom
ΔE to the lowest computed polymorph = 0.000 eV/atom
electronic total energy = -17.7 eV for the cell shown
space-group type = Immm, No. 71

a = 9.9856 Å, b = 9.9856 Å, c = 9.9856 Å
α = 149.77°, β = 105.04°, γ = 82.90°
Sites, in units of the cell vectors:
Cs1 0.0000 0.0000 0.0000
Cs2 0.3307 0.3307 0.0000
Cs3 0.6693 0.6693 0.0000
Hg1 0.0362 0.6812 0.3550
Hg2 0.1824 0.8926 0.2898
Hg3 0.3262 0.6812 0.6450
Hg4 0.3972 0.1074 0.2898
Hg5 0.6028 0.8926 0.7102
Hg6 0.6738 0.3188 0.3550
Hg7 0.8176 0.1074 0.7102
Hg8 0.9638 0.3188 0.6450
Au1 0.2431 0.5000 0.7431
Au2 0.5000 0.0000 0.5000
Au3 0.7569 0.5000 0.2569



Entry 4:
Here is a relaxed Cs7Hg2Au2 crystal from Alexandria via LeMat-Bulk. Energies are from PBE.

Calculated values
calculated volume = 64.7 Å³/atom
formation energy = -0.186 eV per atom
electronic total energy = -15.2 eV for the cell shown
space-group type = C2/m, No. 12

a = 9.7958 Å, b = 9.7958 Å, c = 9.0070 Å
α = 100.80°, β = 100.80°, γ = 57.43°
Sites, in units of the cell vectors:
Cs1 0.0000 0.0000 0.0000
Cs2 0.0289 0.5402 0.2589
Cs3 0.4598 0.9711 0.7411
Cs4 0.4704 0.4704 0.7399
Cs5 0.5296 0.5296 0.2601
Cs6 0.5402 0.0289 0.2589
Cs7 0.9711 0.4598 0.7411
Hg1 0.1569 0.8431 0.5000
Hg2 0.8431 0.1569 0.5000
Au1 0.3395 0.3395 0.0017
Au2 0.6605 0.6605 0.9983



Entry 5:
Here is a relaxed Cs4Hg2Au crystal from Alexandria via LeMat-Bulk. Energies are from PBE.

Calculated values
calculated volume = 70.0 Å³/atom
formation energy = -0.168 eV per atom
ΔE to the lowest computed polymorph = 0.061 eV/atom
electronic total energy = -8.5 eV for the cell shown
space-group type = I4/mmm, No. 139

a = 11.6328 Å, b = 11.6328 Å, c = 11.6328 Å
α = 145.99°, β = 145.99°, γ = 48.85°
Sites, in units of the cell vectors:
Cs1 0.0000 0.5000 0.5000
Cs2 0.1862 0.1862 0.0000
Cs3 0.5000 0.0000 0.5000
Cs4 0.8138 0.8138 0.0000
Hg1 0.3657 0.3657 0.0000
Hg2 0.6343 0.6343 0.0000
Au1 0.5000 0.5000 0.0000



Entry 6:
Here is a relaxed CsHg4Au4 crystal from Alexandria via LeMat-Bulk. Energies are from PBE.

Calculated values
calculated volume = 27.2 Å³/atom
formation energy = -0.100 eV per atom
ΔE to the lowest computed polymorph = 0.000 eV/atom
electronic total energy = -32.1 eV for the cell shown
space-group type = P4_2/nmc, No. 137

a = 7.2067 Å, b = 7.2067 Å, c = 9.4172 Å
α = 90.00°, β = 90.00°, γ = 90.00°
Sites, in units of the cell vectors:
Cs1 0.2500 0.7500 0.2500
Cs2 0.7500 0.2500 0.7500
Hg1 0.0011 0.7500 0.6160
Hg2 0.2500 0.5011 0.8840
Hg3 0.2500 0.9989 0.8840
Hg4 0.4989 0.7500 0.6160
Hg5 0.5011 0.2500 0.3840
Hg6 0.7500 0.0011 0.1160
Hg7 0.7500 0.4989 0.1160
Hg8 0.9989 0.2500 0.3840
Au1 0.0593 0.2500 0.0805
Au2 0.2500 0.0593 0.5805
Au3 0.2500 0.4407 0.5805
Au4 0.4407 0.2500 0.0805
Au5 0.5593 0.7500 0.9195
Au6 0.7500 0.5593 0.4195
Au7 0.7500 0.9407 0.4195
Au8 0.9407 0.7500 0.9195



Entry 7:
Here is a relaxed CsHg6Au3 crystal from Alexandria via LeMat-Bulk. Energies are from PBE.

Calculated values
calculated volume = 29.8 Å³/atom
formation energy = -0.056 eV per atom
electronic total energy = -13.1 eV for the cell shown
space-group type = P1, No. 1

a = 7.4150 Å, b = 7.4554 Å, c = 7.4632 Å
α = 60.67°, β = 60.37°, γ = 61.97°
Sites, in units of the cell vectors:
Cs1 0.0000 0.0000 0.0000
Hg1 0.1870 0.3830 0.0204
Hg2 0.3389 0.7155 0.5605
Hg3 0.5045 0.9530 0.0478
Hg4 0.5239 0.5223 0.0032
Hg5 0.6617 0.1039 0.5493
Hg6 0.9625 0.4900 0.5043
Au1 0.3677 0.1532 0.3760
Au2 0.7310 0.5126 0.2705
Au3 0.8975 0.6900 0.7815



Entry 8:
Here is a relaxed Cs2HgAu2 crystal from Alexandria via LeMat-Bulk. Energies are from PBE.

Calculated values
calculated volume = 58.5 Å³/atom
formation energy = -0.123 eV per atom
ΔE to the lowest computed polymorph = 0.163 eV/atom
electronic total energy = -9.2 eV for the cell shown
space-group type = I4/mmm, No. 139

a = 7.9812 Å, b = 7.9812 Å, c = 7.9812 Å
α = 129.80°, β = 129.80°, γ = 73.72°
Sites, in units of the cell vectors:
Cs1 0.1765 0.1765 0.0000
Cs2 0.8235 0.8235 0.0000
Hg1 0.5000 0.5000 0.0000
Au1 0.2500 0.7500 0.5000
Au2 0.7500 0.2500 0.5000